Material: La2ZnF
Method: DFT, PBE
State: relaxed

space-group type = Fm-3m, No. 225
formation energy from raw total energies = -965 meV/atom
relative energy among the computed polymorphs = 1.362 eV/f.u.
M_tot = 0.00 μB/atom

Unit cell a=5.147 b=5.147 c=5.147 alpha=60.00 beta=60.00 gamma=60.00
Atoms (fractional coordinates):
1 F 0.000 0.000 0.000
2 Zn 0.500 0.500 0.500
3 La 0.750 0.750 0.750
4 La 0.250 0.250 0.250